No. 1
Entry from the Alexandria database: crystalline La6TbPrY2 at its relaxed geometry (GGA-PBE).

Geometry as POSCAR:
```
La6TbPrY2
1.0
8.9912 0.0000 1.2064
0.0000 7.1465 0.0000
-2.0842 -3.5733 5.3377
La Tb Pr Y
6 1 1 2
Cartesian
3.3149 3.5733 1.9869
0.4147 -1.9871 3.6322
6.4923 1.5861 2.9118
0.4147 1.9871 3.6322
6.4923 5.5604 2.9118
3.5921 0.0000 4.5572
0.0000 3.5733 0.0000
4.4956 0.0000 0.6032
1.0916 0.0000 1.1424
5.8155 3.5733 5.4017
```

Output
For the total energy, the calculation gives -50.00 eV per cell. The magnetization comes out at 0.000 μB/f.u. For the energy of formation, the calculation gives 0.19 eV/atom.

---

No. 2
Entry from the Alexandria database: crystalline Cr3FeTc at its relaxed geometry (GGA-PBE).

Geometry as POSCAR:
```
Cr3FeTc
1.0
4.1267 0.0000 0.0000
0.0000 4.1267 0.0000
0.0000 0.0000 4.1267
Cr Tc Fe
3 1 1
Cartesian
0.0000 2.0634 0.0000
0.0000 0.0000 2.0634
2.0634 0.0000 0.0000
2.0634 2.0634 2.0634
0.0000 0.0000 0.0000
```

Output
For the total energy, the calculation gives -41.72 eV per cell. The magnetization comes out at 0.002 μB/f.u. For the energy of formation, the calculation gives 1.20 eV/atom.

---

Copy entry 2 word for word.
Entry from the Alexandria database: crystalline Cr3FeTc at its relaxed geometry (GGA-PBE).

Geometry as POSCAR:
```
Cr3FeTc
1.0
4.1267 0.0000 0.0000
0.0000 4.1267 0.0000
0.0000 0.0000 4.1267
Cr Tc Fe
3 1 1
Cartesian
0.0000 2.0634 0.0000
0.0000 0.0000 2.0634
2.0634 0.0000 0.0000
2.0634 2.0634 2.0634
0.0000 0.0000 0.0000
```

Output
For the total energy, the calculation gives -41.72 eV per cell. The magnetization comes out at 0.002 μB/f.u. For the energy of formation, the calculation gives 1.20 eV/atom.